Record 1
Material: YZrAg4
Method: DFT, GGA-PBE
State: relaxed

Output
crystal system	tetragonal
mass density	8.268	Mg/m³
spin magnetization	0.46	μB/f.u.
formation energy from the elements	-99.2	kJ/mol of formula units
volume	20.47	Å³/atom

Cell lengths 3.645, 3.645, 9.248 Å; angles 90.00, 90.00, 90.00 degrees
Each line ends with the local moment (μB).
Element x y z (fractional)
Y: 0.000 0.500 0.500  -0.01
Zr: 0.500 0.000 0.000  0.28
Ag: 0.000 0.500 0.836  0.02
Ag: 0.000 0.500 0.164  0.02
Ag: 0.500 0.000 0.679  0.00
Ag: 0.500 0.000 0.321  0.00


Record 2
Material: YZr2Ag
Method: DFT, GGA-PBE
State: relaxed

Output
crystal system	tetragonal
mass density	6.737	Mg/m³
spin magnetization	0.00	μB/f.u.
formation energy from the elements	30.7	kJ/mol of formula units
volume	23.37	Å³/atom

Cell lengths 5.865, 5.865, 5.865 Å; angles 136.77, 136.77, 62.79 degrees
Element x y z (fractional)
Ag: 0.250 0.750 0.500
Y: 0.750 0.250 0.500
Zr: 0.000 0.000 0.000
Zr: 0.500 0.500 0.000


Record 3
Material: YZr2Ag
Method: DFT, GGA-PBE
State: relaxed

Output
crystal system	orthorhombic
mass density	6.684	Mg/m³
spin magnetization	0.00	μB/f.u.
formation energy from the elements	61.3	kJ/mol of formula units
volume	23.55	Å³/atom

Cell lengths 3.353, 4.540, 6.188 Å; angles 90.00, 90.00, 90.00 degrees
Element x y z (fractional)
Ag: 0.500 0.500 0.250
Y: 0.500 0.500 0.750
Zr: 0.000 0.000 0.006
Zr: 0.000 0.000 0.494


Record 4
Material: YZr2Ag
Method: DFT, GGA-PBE
State: relaxed

Output
crystal system	tetragonal
mass density	6.779	Mg/m³
spin magnetization	0.00	μB/f.u.
formation energy from the elements	42.9	kJ/mol of formula units
volume	23.22	Å³/atom

Cell lengths 5.530, 5.530, 5.530 Å; angles 131.50, 131.50, 71.01 degrees
Element x y z (fractional)
Ag: 0.500 0.500 0.000
Y: 0.750 0.250 0.500
Zr: 0.000 0.000 0.000
Zr: 0.250 0.750 0.500


Record 5
Material: Y3ZrAg
Method: DFT, GGA-PBE
State: relaxed

Output
crystal system	cubic
mass density	4.699	Mg/m³
spin magnetization	1.52	μB/f.u.
formation energy from the elements	249.2	kJ/mol of formula units
volume	32.92	Å³/atom

Cell lengths 5.480, 5.480, 5.480 Å; angles 90.00, 90.00, 90.00 degrees
Each line ends with the local moment (μB).
Element x y z (fractional)
Y: 0.000 0.500 0.000  -0.01
Y: 0.000 0.000 0.500  0.04
Y: 0.500 0.000 0.000  0.00
Zr: 0.500 0.500 0.500  0.76
Ag: 0.000 0.000 0.000  -0.02


Record 6
Material: YZr2Ag
Method: DFT, GGA-PBE
State: relaxed

Output
crystal system	cubic
mass density	6.912	Mg/m³
spin magnetization	0.00	μB/f.u.
formation energy from the elements	97.3	kJ/mol of formula units
volume	22.78	Å³/atom

Cell lengths 5.051, 5.051, 5.051 Å; angles 60.00, 60.00, 60.00 degrees
Element x y z (fractional)
Y: 0.000 0.000 0.000
Zr: 0.250 0.250 0.250
Zr: 0.750 0.750 0.750
Ag: 0.500 0.500 0.500


Record 7
Material: YZrAg
Method: DFT, GGA-PBE
State: relaxed

Output
crystal system	monoclinic
mass density	6.641	Mg/m³
spin magnetization	0.00	μB/f.u.
formation energy from the elements	-3.3	kJ/mol of formula units
volume	24.01	Å³/atom

Cell lengths 3.384, 8.067, 5.372 Å; angles 100.79, 90.00, 90.00 degrees
Element x y z (fractional)
Y: 0.666 0.617 0.724
Y: 0.166 0.231 0.615
Zr: 0.166 0.980 0.025
Zr: 0.666 0.321 0.141
Ag: 0.666 0.914 0.468
Ag: 0.166 0.633 0.223


Record 8
Material: YZrAg
Method: DFT, GGA-PBE
State: relaxed

Output
crystal system	monoclinic
mass density	6.724	Mg/m³
spin magnetization	0.00	μB/f.u.
formation energy from the elements	-18.0	kJ/mol of formula units
volume	23.71	Å³/atom

Cell lengths 3.379, 8.346, 5.150 Å; angles 89.98, 90.00, 78.32 degrees
Element x y z (fractional)
Y: 0.726 0.596 0.499
Y: 0.861 0.329 0.000
Zr: 0.539 0.973 0.000
Zr: 0.416 0.216 0.500
Ag: 0.069 0.912 0.501
Ag: 0.189 0.671 0.999


Record 9
Material: YZr2Ag
Method: DFT, GGA-PBE
State: relaxed

Output
crystal system	monoclinic
mass density	6.557	Mg/m³
spin magnetization	0.00	μB/f.u.
formation energy from the elements	19.8	kJ/mol of formula units
volume	24.01	Å³/atom

Cell lengths 4.730, 3.303, 6.365 Å; angles 74.95, 90.00, 90.00 degrees
Element x y z (fractional)
Ag: 0.000 0.306 0.516
Y: 0.500 0.710 0.708
Zr: 0.000 0.035 0.052
Zr: 0.500 0.449 0.224


Record 10
Material: YZrAg
Method: DFT, GGA-PBE
State: relaxed

Output
crystal system	tetragonal
mass density	6.441	Mg/m³
spin magnetization	0.00	μB/f.u.
formation energy from the elements	58.5	kJ/mol of formula units
volume	24.75	Å³/atom

Cell lengths 4.496, 4.496, 7.348 Å; angles 90.00, 90.00, 90.00 degrees
Element x y z (fractional)
Y: 0.000 0.000 0.500
Y: 0.500 0.500 0.500
Zr: 0.000 0.500 0.134
Zr: 0.500 0.000 0.866
Ag: 0.000 0.500 0.775
Ag: 0.500 0.000 0.225


Record 11
Material: YZrAg
Method: DFT, GGA-PBE
State: relaxed

Output
crystal system	monoclinic
mass density	6.643	Mg/m³
spin magnetization	0.00	μB/f.u.
formation energy from the elements	-2.7	kJ/mol of formula units
volume	24.00	Å³/atom

Cell lengths 3.377, 8.189, 5.288 Å; angles 79.94, 90.00, 90.00 degrees
Element x y z (fractional)
Y: 0.383 0.602 0.400
Y: 0.383 0.326 0.981
Zr: 0.883 0.973 0.097
Zr: 0.883 0.221 0.510
Ag: 0.383 0.922 0.626
Ag: 0.883 0.653 0.886


Record 12
Material: YZr2Ag
Method: DFT, GGA-PBE
State: relaxed

Output
crystal system	cubic
mass density	6.727	Mg/m³
spin magnetization	1.92	μB/f.u.
formation energy from the elements	58.5	kJ/mol of formula units
volume	23.40	Å³/atom

Cell lengths 5.097, 5.097, 5.097 Å; angles 60.00, 60.00, 60.00 degrees
Each line ends with the local moment (μB).
Element x y z (fractional)
Ag: 0.500 0.500 0.500  0.01
Y: 0.750 0.750 0.750  0.11
Zr: 0.000 0.000 0.000  0.79
Zr: 0.250 0.250 0.250  0.40


Record 13
Material: YZr3Ag
Method: DFT, GGA-PBE
State: relaxed

Output
crystal system	cubic
mass density	5.498	Mg/m³
spin magnetization	0.00	μB/f.u.
formation energy from the elements	352.0	kJ/mol of formula units
volume	28.42	Å³/atom

Cell lengths 5.218, 5.218, 5.218 Å; angles 90.00, 90.00, 90.00 degrees
Element x y z (fractional)
Y: 0.500 0.500 0.500
Zr: 0.000 0.500 0.000
Zr: 0.000 0.000 0.500
Zr: 0.500 0.000 0.000
Ag: 0.000 0.000 0.000


Record 14
Material: YZrAg
Method: DFT, GGA-PBE
State: relaxed

Output
crystal system	monoclinic
mass density	6.605	Mg/m³
spin magnetization	0.00	μB/f.u.
formation energy from the elements	-14.9	kJ/mol of formula units
volume	24.13	Å³/atom

Cell lengths 3.373, 7.694, 6.046 Å; angles 102.97, 106.21, 77.36 degrees
Element x y z (fractional)
Y: 0.571 0.616 0.431
Y: 0.989 0.323 0.973
Zr: 0.734 0.957 0.096
Zr: 0.292 0.216 0.470
Ag: 0.016 0.946 0.647
Ag: 0.286 0.639 0.883


Record 15
Material: YZr2Ag
Method: DFT, GGA-PBE
State: relaxed

Output
crystal system	tetragonal
mass density	6.760	Mg/m³
spin magnetization	0.00	μB/f.u.
formation energy from the elements	36.8	kJ/mol of formula units
volume	23.29	Å³/atom

Cell lengths 4.775, 4.417, 4.417 Å; angles 90.00, 90.00, 90.00 degrees
Element x y z (fractional)
Ag: 0.500 0.500 0.000
Y: 0.500 0.000 0.500
Zr: 0.000 0.000 0.000
Zr: 0.000 0.500 0.500


Record 16
Material: YZr2Ag
Method: DFT, GGA-PBE
State: relaxed

Output
crystal system	trigonal
mass density	6.573	Mg/m³
spin magnetization	0.00	μB/f.u.
formation energy from the elements	25.8	kJ/mol of formula units
volume	23.95	Å³/atom

Cell lengths 10.367, 10.367, 10.367 Å; angles 18.29, 18.29, 18.29 degrees
Element x y z (fractional)
Ag: 0.503 0.503 0.503
Y: 0.753 0.753 0.753
Zr: 0.995 0.995 0.995
Zr: 0.248 0.248 0.248


Record 17
Material: YZrAg
Method: DFT, GGA-PBE
State: relaxed

Output
crystal system	monoclinic
mass density	6.579	Mg/m³
spin magnetization	0.00	μB/f.u.
formation energy from the elements	-3.3	kJ/mol of formula units
volume	24.23	Å³/atom

Cell lengths 5.428, 6.262, 5.550 Å; angles 63.67, 59.30, 77.18 degrees
Element x y z (fractional)
Y: 0.462 0.483 0.583
Y: 0.781 0.194 0.068
Zr: 0.112 0.185 0.407
Zr: 0.464 0.933 0.857
Ag: 0.967 0.703 0.471
Ag: 0.967 0.702 0.972


Record 18
Material: YZrAg
Method: DFT, GGA-PBE
State: relaxed

Output
crystal system	trigonal
mass density	6.585	Mg/m³
spin magnetization	0.00	μB/f.u.
formation energy from the elements	24.0	kJ/mol of formula units
volume	24.21	Å³/atom

Cell lengths 3.342, 3.342, 7.507 Å; angles 90.00, 90.00, 120.00 degrees
Element x y z (fractional)
Ag: 0.000 0.000 0.991
Y: 0.667 0.333 0.329
Zr: 0.333 0.667 0.680


Record 19
Material: YZrAg4
Method: DFT, GGA-PBE
State: relaxed

Output
crystal system	cubic
mass density	8.087	Mg/m³
spin magnetization	1.49	μB/f.u.
formation energy from the elements	10.7	kJ/mol of formula units
volume	20.93	Å³/atom

Cell lengths 5.621, 5.621, 5.621 Å; angles 60.00, 60.00, 60.00 degrees
Each line ends with the local moment (μB).
Element x y z (fractional)
Y: 0.750 0.750 0.750  0.17
Zr: 0.000 0.000 0.000  0.71
Ag: 0.876 0.375 0.375  0.02
Ag: 0.375 0.375 0.876  0.02
Ag: 0.375 0.876 0.375  0.02
Ag: 0.375 0.375 0.375  0.02


Record 20
Material: YZr2Ag
Method: DFT, GGA-PBE
State: relaxed

Output
crystal system	tetragonal
mass density	6.646	Mg/m³
spin magnetization	0.00	μB/f.u.
formation energy from the elements	-27.2	kJ/mol of formula units
volume	23.69	Å³/atom

Cell lengths 3.325, 3.325, 8.570 Å; angles 90.00, 90.00, 90.00 degrees
Element x y z (fractional)
Y: 0.500 0.500 0.733
Zr: 0.000 0.000 0.020
Zr: 0.500 0.500 0.263
Ag: 0.000 0.000 0.484


Record 21
Material: YZrAg
Method: DFT, GGA-PBE
State: relaxed

Output
crystal system	cubic
mass density	5.862	Mg/m³
spin magnetization	1.59	μB/f.u.
formation energy from the elements	94.0	kJ/mol of formula units
volume	27.19	Å³/atom

Cell lengths 4.868, 4.868, 4.868 Å; angles 60.00, 60.00, 60.00 degrees
Each line ends with the local moment (μB).
Element x y z (fractional)
Ag: 0.750 0.750 0.750  0.06
Y: 0.000 0.000 0.000  0.25
Zr: 0.500 0.500 0.500  0.67


Record 22
Material: YZr3Ag
Method: DFT, GGA-PBE
State: relaxed

Output
crystal system	cubic
mass density	5.601	Mg/m³
spin magnetization	0.00	μB/f.u.
formation energy from the elements	704.8	kJ/mol of formula units
volume	27.89	Å³/atom

Cell lengths 5.186, 5.186, 5.186 Å; angles 90.00, 90.00, 90.00 degrees
Element x y z (fractional)
Y: 0.000 0.000 0.000
Zr: 0.000 0.500 0.000
Zr: 0.000 0.000 0.500
Zr: 0.500 0.000 0.000
Ag: 0.500 0.500 0.500


Record 23
Material: YZrAg
Method: DFT, GGA-PBE
State: relaxed

Output
crystal system	cubic
mass density	6.136	Mg/m³
spin magnetization	0.00	μB/f.u.
formation energy from the elements	218.7	kJ/mol of formula units
volume	25.98	Å³/atom

Cell lengths 4.795, 4.795, 4.795 Å; angles 60.00, 60.00, 60.00 degrees
Element x y z (fractional)
Y: 0.250 0.250 0.250
Zr: 0.500 0.500 0.500
Ag: 0.750 0.750 0.750


Record 24
Material: YZrAg
Method: DFT, GGA-PBE
State: relaxed

Output
crystal system	hexagonal
mass density	6.651	Mg/m³
spin magnetization	0.00	μB/f.u.
formation energy from the elements	20.2	kJ/mol of formula units
volume	23.97	Å³/atom

Cell lengths 8.601, 6.739, 4.962 Å; angles 90.00, 90.00, 90.00 degrees
Element x y z (fractional)
Y: 0.000 0.000 0.000
Y: 0.500 0.500 0.500
Y: 0.500 0.000 0.500
Y: 0.000 0.500 0.000
Zr: 0.333 0.250 0.000
Zr: 0.167 0.750 0.500
Zr: 0.667 0.750 0.000
Zr: 0.833 0.250 0.500
Ag: 0.667 0.250 0.000
Ag: 0.833 0.750 0.500
Ag: 0.333 0.750 0.000
Ag: 0.167 0.250 0.500


Record 25
Material: YZr2Ag
Method: DFT, GGA-PBE
State: relaxed

Output
crystal system	tetragonal
mass density	6.712	Mg/m³
spin magnetization	0.00	μB/f.u.
formation energy from the elements	23.8	kJ/mol of formula units
volume	23.45	Å³/atom

Cell lengths 3.292, 3.292, 8.655 Å; angles 90.00, 90.00, 90.01 degrees
Element x y z (fractional)
Ag: 0.500 0.500 0.250
Y: 0.500 0.500 0.750
Zr: 0.000 0.000 0.024
Zr: 0.000 0.000 0.476


Record 26
Material: YZrAg
Method: DFT, GGA-PBE
State: relaxed

Output
crystal system	tetragonal
mass density	6.650	Mg/m³
spin magnetization	0.00	μB/f.u.
formation energy from the elements	-23.6	kJ/mol of formula units
volume	23.97	Å³/atom

Cell lengths 6.638, 6.639, 3.410 Å; angles 75.12, 75.12, 29.76 degrees
Element x y z (fractional)
Ag: 0.010 0.010 0.990
Y: 0.337 0.337 0.663
Zr: 0.653 0.653 0.347


Record 27
Material: Y5ZrAg4
Method: DFT, GGA-PBE
State: relaxed

Output
crystal system	tetragonal
mass density	6.467	Mg/m³
spin magnetization	0.00	μB/f.u.
formation energy from the elements	-226.1	kJ/mol of formula units
volume	24.84	Å³/atom

Cell lengths 3.575, 3.575, 19.438 Å; angles 90.00, 90.00, 90.00 degrees
Element x y z (fractional)
Y: 0.500 0.500 0.114
Y: 0.500 0.500 0.308
Y: 0.500 0.500 0.500
Y: 0.500 0.500 0.692
Y: 0.500 0.500 0.886
Zr: 0.000 0.000 0.000
Ag: 0.000 0.000 0.211
Ag: 0.000 0.000 0.404
Ag: 0.000 0.000 0.596
Ag: 0.000 0.000 0.789


Record 28
Material: YZr2Ag
Method: DFT, GGA-PBE
State: relaxed

Output
crystal system	trigonal
mass density	6.639	Mg/m³
spin magnetization	0.00	μB/f.u.
formation energy from the elements	56.8	kJ/mol of formula units
volume	23.71	Å³/atom

Cell lengths 10.546, 10.546, 10.546 Å; angles 17.72, 17.72, 17.72 degrees
Element x y z (fractional)
Ag: 0.250 0.250 0.250
Y: 0.750 0.750 0.750
Zr: 0.994 0.994 0.994
Zr: 0.506 0.506 0.506


Record 29
Material: YZrAg
Method: DFT, GGA-PBE
State: relaxed

Output
crystal system	monoclinic
mass density	6.717	Mg/m³
spin magnetization	0.00	μB/f.u.
formation energy from the elements	-7.5	kJ/mol of formula units
volume	23.73	Å³/atom

Cell lengths 3.383, 8.344, 5.302 Å; angles 72.04, 90.00, 90.00 degrees
Element x y z (fractional)
Y: 0.735 0.628 0.121
Y: 0.734 0.292 0.773
Zr: 0.734 0.941 0.448
Zr: 0.234 0.250 0.292
Ag: 0.234 0.967 0.931
Ag: 0.234 0.618 0.631